Version P
Entry from Alexandria via LeMat-Bulk: an optimized crystal structure of PaGePd2 (PBE).

a b c (Å): 4.748 4.748 4.748
angles (deg): 60.00 60.00 60.00
Fractional coordinates of all 4 atoms:
1 Pa 0.000 0.000 0.000
2 Ge 0.500 0.500 0.500
3 Pd 0.250 0.250 0.250
4 Pd 0.750 0.750 0.750

SG: Fm-3m (225)
total magnetization: 0.001 μB per atom

Version Q
Entry from Alexandria via LeMat-Bulk: an optimized crystal structure of PaGePd2 (PBE).

a b c (Å): 9.564 9.564 9.564
angles (deg): 18.47 18.47 18.47
Fractional coordinates of all 4 atoms:
1 Pa 0.000 0.000 0.000
2 Ge 0.500 0.500 0.500
3 Pd 0.094 0.094 0.094
4 Pd 0.906 0.906 0.906

SG: R-3m (166)
total magnetization: 0.132 μB per atom

Version R
Entry from Alexandria via LeMat-Bulk: an optimized crystal structure of PaGePd2 (PBE).

a b c (Å): 5.604 5.604 6.982
angles (deg): 90.00 90.00 137.07
Fractional coordinates of all 8 atoms:
1 Pa 0.068 0.932 0.750
2 Pa 0.932 0.068 0.250
3 Ge 0.217 0.783 0.250
4 Ge 0.783 0.217 0.750
5 Pd 0.372 0.628 0.550
6 Pd 0.372 0.628 0.950
7 Pd 0.628 0.372 0.050
8 Pd 0.628 0.372 0.450

SG: Cmcm (63)
total magnetization: 0.000 μB per atom

The least stable of them is version Q.

Version P
Entry from Alexandria via LeMat-Bulk: an optimized crystal structure of Pa2GePd (PBE).

a b c (Å): 3.758 3.758 6.080
angles (deg): 90.00 90.00 90.00
Fractional coordinates of all 4 atoms:
1 Pa 0.000 0.000 0.247
2 Pa 0.000 0.000 0.753
3 Ge 0.500 0.500 0.000
4 Pd 0.500 0.500 0.500

SG: P4/mmm (123)
total magnetization: 0.000 μB per atom

Version Q
Entry from Alexandria via LeMat-Bulk: an optimized crystal structure of Pa2GePd (PBE).

a b c (Å): 10.438 10.438 10.438
angles (deg): 17.35 17.35 17.35
Fractional coordinates of all 4 atoms:
1 Pa 0.087 0.087 0.087
2 Pa 0.913 0.913 0.913
3 Ge 0.500 0.500 0.500
4 Pd 0.000 0.000 0.000

SG: R-3m (166)
total magnetization: 0.000 μB per atom

The least stable of them is version Q.

Version P
Entry from Alexandria via LeMat-Bulk: an optimized crystal structure of Pa2GePd (PBE).

a b c (Å): 4.375 4.375 4.343
angles (deg): 90.00 90.00 90.00
Fractional coordinates of all 4 atoms:
1 Pa 0.000 0.500 0.000
2 Pa 0.500 0.000 0.000
3 Ge 0.000 0.000 0.500
4 Pd 0.500 0.500 0.500

SG: P4/mmm (123)
total magnetization: 0.000 μB per atom

Version Q
Entry from Alexandria via LeMat-Bulk: an optimized crystal structure of Pa2GePd (PBE).

a b c (Å): 5.969 3.960 8.163
angles (deg): 90.00 110.69 90.00
Fractional coordinates of all 8 atoms:
1 Pa 0.208 0.250 0.406
2 Pa 0.208 0.250 0.937
3 Pa 0.792 0.750 0.063
4 Pa 0.792 0.750 0.594
5 Ge 0.318 0.750 0.698
6 Ge 0.682 0.250 0.302
7 Pd 0.368 0.750 0.213
8 Pd 0.632 0.250 0.787

SG: P2_1/m (11)
total magnetization: 0.000 μB per atom

The least stable of them is version P.

Version P
Entry from Alexandria via LeMat-Bulk: an optimized crystal structure of Pa5Ge5Pd2 (PBE).

a b c (Å): 7.748 7.748 10.985
angles (deg): 129.52 129.52 31.45
Fractional coordinates of all 12 atoms:
1 Pa 0.000 0.000 0.000
2 Pa 0.314 0.314 0.398
3 Pa 0.364 0.364 0.196
4 Pa 0.636 0.636 0.804
5 Pa 0.686 0.686 0.602
6 Ge 0.000 0.000 0.500
7 Ge 0.060 0.060 0.325
8 Ge 0.311 0.311 0.887
9 Ge 0.689 0.689 0.113
10 Ge 0.940 0.940 0.675
11 Pd 0.377 0.377 0.723
12 Pd 0.623 0.623 0.277

SG: C2/m (12)
total magnetization: 0.052 μB per atom

Version Q
Entry from Alexandria via LeMat-Bulk: an optimized crystal structure of Pa5Ge5Pd2 (PBE).

a b c (Å): 7.188 7.188 10.917
angles (deg): 118.79 118.79 32.82
Fractional coordinates of all 12 atoms:
1 Pa 0.000 0.000 0.000
2 Pa 0.160 0.160 0.523
3 Pa 0.160 0.160 0.774
4 Pa 0.840 0.840 0.226
5 Pa 0.840 0.840 0.477
6 Ge 0.195 0.195 0.274
7 Ge 0.374 0.374 0.056
8 Ge 0.500 0.500 0.500
9 Ge 0.626 0.626 0.944
10 Ge 0.805 0.805 0.726
11 Pd 0.436 0.436 0.710
12 Pd 0.564 0.564 0.290

SG: C2/m (12)
total magnetization: 0.000 μB per atom

The least stable of them is version Q.

Version P
Entry from Alexandria via LeMat-Bulk: an optimized crystal structure of Pa3Ge3Pd2 (PBE).

a b c (Å): 5.735 5.735 14.366
angles (deg): 90.00 90.00 136.26
Fractional coordinates of all 16 atoms:
1 Pa 0.079 0.921 0.615
2 Pa 0.079 0.921 0.885
3 Pa 0.362 0.638 0.750
4 Pa 0.638 0.362 0.250
5 Pa 0.921 0.079 0.115
6 Pa 0.921 0.079 0.385
7 Ge 0.358 0.642 0.250
8 Ge 0.388 0.612 0.539
9 Ge 0.388 0.612 0.961
10 Ge 0.612 0.388 0.039
11 Ge 0.612 0.388 0.461
12 Ge 0.642 0.358 0.750
13 Pd 0.213 0.787 0.102
14 Pd 0.213 0.787 0.398
15 Pd 0.787 0.213 0.602
16 Pd 0.787 0.213 0.898

SG: Cmcm (63)
total magnetization: 0.000 μB per atom

Version Q
Entry from Alexandria via LeMat-Bulk: an optimized crystal structure of Pa3Ge3Pd2 (PBE).

a b c (Å): 7.846 14.485 5.825
angles (deg): 90.00 90.00 90.00
Fractional coordinates of all 32 atoms:
1 Pa 0.037 0.111 0.124
2 Pa 0.037 0.389 0.124
3 Pa 0.184 0.250 0.624
4 Pa 0.316 0.750 0.124
5 Pa 0.463 0.611 0.624
6 Pa 0.463 0.889 0.624
7 Pa 0.537 0.111 0.376
8 Pa 0.537 0.389 0.376
9 Pa 0.684 0.250 0.876
10 Pa 0.816 0.750 0.376
11 Pa 0.963 0.611 0.876
12 Pa 0.963 0.889 0.876
13 Ge 0.181 0.750 0.637
14 Ge 0.201 0.041 0.587
15 Ge 0.201 0.459 0.587
16 Ge 0.299 0.541 0.087
17 Ge 0.299 0.959 0.087
18 Ge 0.319 0.250 0.137
19 Ge 0.681 0.750 0.863
20 Ge 0.701 0.041 0.913
21 Ge 0.701 0.459 0.913
22 Ge 0.799 0.541 0.413
23 Ge 0.799 0.959 0.413
24 Ge 0.819 0.250 0.363
25 Pd 0.098 0.609 0.381
26 Pd 0.098 0.891 0.381
27 Pd 0.402 0.109 0.881
28 Pd 0.402 0.391 0.881
29 Pd 0.598 0.609 0.119
30 Pd 0.598 0.891 0.119
31 Pd 0.902 0.109 0.619
32 Pd 0.902 0.391 0.619

SG: Pnma (62)
total magnetization: 0.029 μB per atom

The least stable of them is version Q.

Version P
Entry from Alexandria via LeMat-Bulk: an optimized crystal structure of Pa2Ge3Pd5 (PBE).

a b c (Å): 12.076 12.076 6.982
angles (deg): 90.00 90.00 159.17
Fractional coordinates of all 20 atoms:
1 Pa 0.019 0.981 0.500
2 Pa 0.327 0.673 0.514
3 Pa 0.673 0.327 0.014
4 Pa 0.981 0.019 0.000
5 Ge 0.107 0.893 0.187
6 Ge 0.276 0.724 0.084
7 Ge 0.447 0.553 0.306
8 Ge 0.553 0.447 0.806
9 Ge 0.724 0.276 0.584
10 Ge 0.893 0.107 0.687
11 Pd 0.109 0.891 0.790
12 Pd 0.201 0.799 0.372
13 Pd 0.226 0.774 0.775
14 Pd 0.380 0.620 0.009
15 Pd 0.450 0.550 0.689
16 Pd 0.550 0.450 0.189
17 Pd 0.620 0.380 0.509
18 Pd 0.774 0.226 0.275
19 Pd 0.799 0.201 0.872
20 Pd 0.891 0.109 0.290

SG: Cmc2_1 (36)
total magnetization: 0.000 μB per atom

Version Q
Entry from Alexandria via LeMat-Bulk: an optimized crystal structure of Pa2Ge3Pd5 (PBE).

a b c (Å): 8.447 8.447 8.447
angles (deg): 98.09 95.91 139.15
Fractional coordinates of all 20 atoms:
1 Pa 0.220 0.135 0.354
2 Pa 0.280 0.635 0.915
3 Pa 0.720 0.365 0.085
4 Pa 0.780 0.865 0.646
5 Ge 0.124 0.862 0.986
6 Ge 0.250 0.750 0.500
7 Ge 0.376 0.362 0.738
8 Ge 0.624 0.638 0.262
9 Ge 0.750 0.250 0.500
10 Ge 0.876 0.138 0.014
11 Pd 0.164 0.408 0.571
12 Pd 0.250 0.250 0.000
13 Pd 0.250 0.519 0.269
14 Pd 0.250 0.981 0.731
15 Pd 0.336 0.908 0.244
16 Pd 0.664 0.092 0.756
17 Pd 0.750 0.019 0.269
18 Pd 0.750 0.481 0.731
19 Pd 0.750 0.750 0.000
20 Pd 0.836 0.592 0.429

SG: Ibam (72)
total magnetization: 0.000 μB per atom

The least stable of them is version Q.

Version P
Entry from Alexandria via LeMat-Bulk: an optimized crystal structure of Pa2Ge2Pd (PBE).

a b c (Å): 5.732 5.732 10.240
angles (deg): 114.53 114.53 44.07
Fractional coordinates of all 10 atoms:
1 Pa 0.007 0.007 0.326
2 Pa 0.186 0.186 0.105
3 Pa 0.814 0.814 0.895
4 Pa 0.993 0.993 0.674
5 Ge 0.361 0.361 0.436
6 Ge 0.467 0.467 0.112
7 Ge 0.533 0.533 0.888
8 Ge 0.639 0.639 0.564
9 Pd 0.282 0.282 0.660
10 Pd 0.718 0.718 0.340

SG: C2/m (12)
total magnetization: 0.043 μB per atom

Version Q
Entry from Alexandria via LeMat-Bulk: an optimized crystal structure of Pa2Ge2Pd (PBE).

a b c (Å): 7.842 7.842 6.261
angles (deg): 90.00 90.00 145.98
Fractional coordinates of all 10 atoms:
1 Pa 0.000 0.000 0.000
2 Pa 0.000 0.000 0.500
3 Pa 0.201 0.799 0.803
4 Pa 0.799 0.201 0.303
5 Ge 0.174 0.826 0.287
6 Ge 0.423 0.577 0.240
7 Ge 0.577 0.423 0.740
8 Ge 0.826 0.174 0.787
9 Pd 0.393 0.607 0.656
10 Pd 0.607 0.393 0.156

SG: Cmc2_1 (36)
total magnetization: 0.000 μB per atom

The least stable of them is version Q.

Version P
Entry from Alexandria via LeMat-Bulk: an optimized crystal structure of PaGe3Pd3 (PBE).

a b c (Å): 6.743 6.743 6.743
angles (deg): 90.00 90.00 90.00
Fractional coordinates of all 14 atoms:
1 Pa 0.000 0.000 0.000
2 Pa 0.500 0.500 0.500
3 Ge 0.000 0.250 0.500
4 Ge 0.000 0.750 0.500
5 Ge 0.250 0.500 0.000
6 Ge 0.500 0.000 0.250
7 Ge 0.500 0.000 0.750
8 Ge 0.750 0.500 0.000
9 Pd 0.000 0.500 0.250
10 Pd 0.000 0.500 0.750
11 Pd 0.250 0.000 0.500
12 Pd 0.500 0.250 0.000
13 Pd 0.500 0.750 0.000
14 Pd 0.750 0.000 0.500

SG: Pm-3n (223)
total magnetization: 0.262 μB per atom

Version Q
Entry from Alexandria via LeMat-Bulk: an optimized crystal structure of PaGe3Pd3 (PBE).

a b c (Å): 7.504 7.504 7.504
angles (deg): 57.70 57.70 57.70
Fractional coordinates of all 14 atoms:
1 Pa 0.166 0.166 0.166
2 Pa 0.834 0.834 0.834
3 Ge 0.118 0.420 0.718
4 Ge 0.282 0.882 0.580
5 Ge 0.420 0.718 0.118
6 Ge 0.580 0.282 0.882
7 Ge 0.718 0.118 0.420
8 Ge 0.882 0.580 0.282
9 Pd 0.033 0.731 0.382
10 Pd 0.269 0.618 0.967
11 Pd 0.382 0.033 0.731
12 Pd 0.618 0.967 0.269
13 Pd 0.731 0.382 0.033
14 Pd 0.967 0.269 0.618

SG: R-3 (148)
total magnetization: 0.000 μB per atom

The least stable of them is version P.

Version P
Entry from Alexandria via LeMat-Bulk: an optimized crystal structure of PuPaGePd (PBE).

a b c (Å): 5.006 5.006 5.006
angles (deg): 60.00 60.00 60.00
Fractional coordinates of all 4 atoms:
1 Pu 0.000 0.000 0.000
2 Pa 0.500 0.500 0.500
3 Ge 0.750 0.750 0.750
4 Pd 0.250 0.250 0.250

SG: F-43m (216)
total magnetization: 1.739 μB per atom

Version Q
Entry from Alexandria via LeMat-Bulk: an optimized crystal structure of PuPaGePd (PBE).

a b c (Å): 4.838 4.838 4.881
angles (deg): 90.00 90.00 120.00
Fractional coordinates of all 4 atoms:
1 Pu 0.000 0.000 0.000
2 Pa 0.333 0.667 0.219
3 Ge 0.667 0.333 0.915
4 Pd 0.667 0.333 0.426

SG: P3m1 (156)
total magnetization: 1.792 μB per atom

The least stable of them is version Q.

Version P
Entry from Alexandria via LeMat-Bulk: an optimized crystal structure of PmPaGe2 (PBE).

a b c (Å): 5.084 5.084 5.084
angles (deg): 60.00 60.00 60.00
Fractional coordinates of all 4 atoms:
1 Pm 0.000 0.000 0.000
2 Pa 0.500 0.500 0.500
3 Ge 0.250 0.250 0.250
4 Ge 0.750 0.750 0.750

SG: Fm-3m (225)
total magnetization: 0.006 μB per atom

Version Q
Entry from Alexandria via LeMat-Bulk: an optimized crystal structure of PmPaGe2 (PBE).

a b c (Å): 5.382 5.382 3.189
angles (deg): 90.00 90.00 90.00
Fractional coordinates of all 4 atoms:
1 Pm 0.000 0.000 0.000
2 Pa 0.500 0.500 0.820
3 Ge 0.000 0.500 0.420
4 Ge 0.500 0.000 0.420

SG: P4mm (99)
total magnetization: 0.000 μB per atom

The least stable of them is version P.

Version P
Entry from Alexandria via LeMat-Bulk: an optimized crystal structure of PmPaGe2 (PBE).

a b c (Å): 3.360 3.360 8.091
angles (deg): 90.00 90.00 90.00
Fractional coordinates of all 4 atoms:
1 Pm 0.000 0.000 0.000
2 Pa 0.000 0.000 0.500
3 Ge 0.500 0.500 0.257
4 Ge 0.500 0.500 0.743

SG: P4/mmm (123)
total magnetization: 0.001 μB per atom

Version Q
Entry from Alexandria via LeMat-Bulk: an optimized crystal structure of PmPaGe2 (PBE).

a b c (Å): 7.259 7.259 7.259
angles (deg): 33.75 33.75 33.75
Fractional coordinates of all 4 atoms:
1 Pm 0.000 0.000 0.000
2 Pa 0.500 0.500 0.500
3 Ge 0.244 0.244 0.244
4 Ge 0.756 0.756 0.756

SG: R-3m (166)
total magnetization: 0.000 μB per atom

The least stable of them is version P.